Record 1
Computed, not measured: a relaxed In2GeSb2 crystal at the PBE level of DFT.

Results
**E above lowest polymorph**: 0 meV per atom
**Formation energy without anion corrections**: 0.188 eV per atom

Unit cell a=8.1519 b=8.1519 c=4.1071 alpha=90.00 beta=90.00 gamma=90.00
Space group P4/mbm (No. 127)
Symmetry-distinct sites (fractional):
In  0.1450  0.3550  0.0000 x4
Ge  0.0000  0.0000  0.5000 x2
Sb  0.1610  0.6610  0.5000 x4



Record 2
Computed, not measured: a relaxed InGe2Sb2 crystal at the PBE level of DFT.

Results
**E above lowest polymorph**: 39 meV per atom
**Formation energy without anion corrections**: 0.203 eV per atom

Unit cell a=8.1538 b=8.1538 c=3.7494 alpha=90.00 beta=90.00 gamma=90.00
Space group P4/mbm (No. 127)
Symmetry-distinct sites (fractional):
In  0.0000  0.0000  0.0000 x2
Ge  0.1347  0.3653  0.0000 x4
Sb  0.1549  0.6549  0.5000 x4



Record 3
Computed, not measured: a relaxed In2GeSb crystal at the PBE level of DFT.

Results
**E above lowest polymorph**: 4 meV per atom
**Formation energy without anion corrections**: 0.085 eV per atom

Unit cell a=6.4517 b=6.4517 c=12.7118 alpha=90.00 beta=90.00 gamma=90.00
Space group I-42d (No. 122)
Symmetry-distinct sites (fractional):
In  0.2243  0.2500  0.1250 x8
Ge  0.0000  0.0000  0.0000 x4
Sb  0.0000  0.0000  0.5000 x4



Record 4
Computed, not measured: a relaxed In2GeSb crystal at the PBE level of DFT.

Results
**E above lowest polymorph**: 338 meV per atom
**Formation energy without anion corrections**: 0.419 eV per atom

Unit cell a=4.0825 b=4.0825 c=27.4361 alpha=90.00 beta=90.00 gamma=120.00
Space group R-3m (No. 166, hexagonal axes)
Symmetry-distinct sites (fractional):
In  0.0000  0.0000  0.1001 x6
Ge  0.0000  0.0000  0.0000 x3
Sb  0.0000  0.0000  0.5000 x3



Record 5
Computed, not measured: a relaxed In2GeSb crystal at the PBE level of DFT.

Results
**E above lowest polymorph**: 5 meV per atom
**Formation energy without anion corrections**: 0.086 eV per atom

Unit cell a=11.9806 b=5.2713 c=7.1205 alpha=90.00 beta=101.43 gamma=90.00
Space group Cm (No. 8)
Symmetry-distinct sites (fractional):
In  0.0000  0.0000  0.0000 x2
In  0.0421  0.5000  0.2932 x2
In  0.1204  0.5000  0.8044 x2
In  0.3224  0.0000  0.6979 x2
Ge  0.2582  0.5000  0.2178 x2
Ge  0.3536  0.5000  0.5795 x2
Sb  0.0690  0.0000  0.5054 x2
Sb  0.3010  0.0000  0.1070 x2



Record 6
Computed, not measured: a relaxed In2GeSb crystal at the PBE level of DFT.

Results
**E above lowest polymorph**: 26 meV per atom
**Formation energy without anion corrections**: 0.107 eV per atom

Unit cell a=5.4519 b=5.9072 c=6.6174 alpha=90.00 beta=93.75 gamma=90.00
Space group P2_1/m (No. 11)
Symmetry-distinct sites (fractional):
In  0.2196  0.2500  0.4260 x2
In  0.2492  0.2500  0.9357 x2
Ge  0.2438  0.7500  0.9131 x2
Sb  0.2616  0.7500  0.3424 x2



Record 7
Computed, not measured: a relaxed In2Ge2Sb crystal at the PBE level of DFT.

Results
**E above lowest polymorph**: 103 meV per atom
**Formation energy without anion corrections**: 0.283 eV per atom

Unit cell a=4.3034 b=4.3034 c=13.7359 alpha=90.00 beta=90.00 gamma=90.00
Space group I4/mmm (No. 139)
Symmetry-distinct sites (fractional):
In  0.0000  0.5000  0.2500 x4
Ge  0.0000  0.0000  0.0938 x4
Sb  0.0000  0.0000  0.5000 x2



Record 8
Computed, not measured: a relaxed In2GeSb crystal at the PBE level of DFT.

Results
**E above lowest polymorph**: 28 meV per atom
**Formation energy without anion corrections**: 0.109 eV per atom

Unit cell a=6.5633 b=4.8552 c=6.7748 alpha=90.00 beta=93.85 gamma=90.00
Space group Pm (No. 6)
Symmetry-distinct sites (fractional):
In  0.0000  0.0000  0.0000 x1
In  0.1333  0.5000  0.6979 x1
In  0.4068  0.5000  0.2868 x1
In  0.7849  0.0000  0.5315 x1
Ge  0.3353  0.0000  0.5385 x1
Ge  0.6947  0.5000  0.8681 x1
Sb  0.4600  0.0000  0.9429 x1
Sb  0.8979  0.5000  0.2514 x1



Number 1: final energy -3.480 eV per atom. Number 2: final energy -3.840 eV per atom. Number 3: final energy -3.469 eV per atom. Number 4: final energy -3.135 eV per atom. Number 5: final energy -3.468 eV per atom. Number 6: final energy -3.447 eV per atom. Number 7: final energy -3.484 eV per atom. Number 8: final energy -3.445 eV per atom.